[1]
Compound: NbAlVRe
Source: Alexandria via LeMat-Bulk
Functional: PBE-GGA
Structure: optimized geometry

Electronic total energy = -36.22 eV per cell
M_tot = 0.505 μB per atom

The structure in POSCAR format:
```
NbAlVRe
1.0
4.4444 0.0000 0.0000
2.2222 3.8490 0.0000
2.2222 1.2830 3.6288
Nb Re V Al
1 1 1 1
Direct
0.0000 0.0000 0.0000
0.2500 0.2500 0.2500
0.7500 0.7500 0.7500
0.5000 0.5000 0.5000
```

[2]
Compound: TlFeP2
Source: Alexandria via LeMat-Bulk
Functional: PBE-GGA
Structure: optimized geometry

Electronic total energy = -19.50 eV per cell
Distance to the lowest polymorph of the same formula = 0.572 eV/atom
M_tot = 0.584 μB per atom

The structure in POSCAR format:
```
TlFeP2
1.0
-2.7508 -1.9461 -4.0014
-2.0774 -4.3086 2.1180
0.0068 5.2295 0.1315
P Fe Tl
2 1 1
Direct
0.8083 0.3083 0.5000
0.0004 0.0004 0.0000
0.1991 0.6991 0.5000
0.4922 0.4922 0.0000
```